This record from the Alexandria database describes an optimized crystal structure of La12Pr7In. The functional is PBE.

a = 9.0835 Å, b = 9.0835 Å, c = 9.0835 Å
α = 100.34°, β = 100.34°, γ = 100.34°
Sites, in units of the cell vectors:
La 0.0007 0.7463 0.2538
La 0.1604 0.5909 0.5909
La 0.2538 0.0007 0.7463
La 0.2537 0.7462 0.9993
La 0.4091 0.4091 0.8396
La 0.4091 0.8396 0.4091
La 0.5909 0.1604 0.5909
La 0.5909 0.5909 0.1604
La 0.7463 0.2538 0.0007
La 0.7462 0.9993 0.2537
La 0.8396 0.4091 0.4091
La 0.9993 0.2537 0.7462
Pr 0.1431 0.1440 0.4069
Pr 0.1440 0.4069 0.1431
Pr 0.4069 0.1431 0.1440
Pr 0.5000 0.5000 0.5000
Pr 0.5931 0.8569 0.8560
Pr 0.8560 0.5931 0.8569
Pr 0.8569 0.8560 0.5931
In 0.0000 0.0000 0.0000

Values from the calculation:
The symmetry is R-3. Its crystal system is trigonal. As for the relative energy among the computed polymorphs: 0 meV per atom.